No. 1
Compound: TbGdAg
Source: OQMD via LeMat-Bulk
Functional: PBE
Structure: relaxed

Values from the calculation:
DFT formation energy, kJ per mole of atoms: 52.4
Density, Mg/m³: 8.34
Electronic total energy, eV per formula unit: -10.5

Unit cell a=4.9243 b=4.9243 c=4.9243 alpha=60.00 beta=60.00 gamma=60.00
Closest atoms and distances in Å follow each position.
Sites, in units of the cell vectors:
Tb 0.0000 0.0000 0.0000  4 Gd 3.02
Gd 0.7500 0.7500 0.7500  4 Ag 3.02, 4 Tb 3.02
Ag 0.5000 0.5000 0.5000  4 Gd 3.02

---

No. 2
Compound: LiEr2
Source: OQMD via LeMat-Bulk
Functional: PBE
Structure: relaxed

Values from the calculation:
E above lowest polymorph, eV per atom: 1.491
Density, Mg/m³: 2.81
Electronic total energy, eV per formula unit: -5.2

Unit cell a=8.2981 b=8.2981 c=8.2981 alpha=60.00 beta=60.00 gamma=60.00
Closest atoms and distances in Å follow each position.
Sites, in units of the cell vectors:
Li 0.1250 0.1250 0.1250  4 Er 2.54
Li 0.8750 0.8750 0.8750  4 Er 2.54
Er 0.0000 0.0000 0.0000  2 Li 2.54
Er 0.0000 0.0000 0.5000  2 Li 2.54
Er 0.0000 0.5000 0.0000  2 Li 2.54
Er 0.5000 0.0000 0.0000  2 Li 2.54

---

No. 3
Compound: SmZn3CuPd
Source: OQMD via LeMat-Bulk
Functional: PBE
Structure: relaxed

Values from the calculation:
DFT formation energy, kJ per mole of atoms: -44.8
Density, Mg/m³: 8.32
Electronic total energy, eV per formula unit: -20.2

Unit cell a=5.2638 b=5.2638 c=4.2979 alpha=90.00 beta=90.00 gamma=120.00
Closest atoms and distances in Å follow each position.
Sites, in units of the cell vectors:
Sm 0.0000 0.0000 0.0000  3 Pd 3.04, 3 Cu 3.04, 12 Zn 3.40
Zn 0.0041 0.5020 0.5000  4 Zn 2.60-2.66, 2 Cu 2.62, 2 Pd 2.64
Zn 0.4980 0.5020 0.5000  4 Zn 2.60-2.66, 2 Cu 2.62, 2 Pd 2.64
Zn 0.4980 0.9959 0.5000  4 Zn 2.60-2.66, 2 Cu 2.62, 2 Pd 2.64
Cu 0.3333 0.6667 0.0000  6 Zn 2.62
Pd 0.6667 0.3333 0.0000  6 Zn 2.64

---

No. 4
Compound: ZrGa2Pd2
Source: OQMD via LeMat-Bulk
Functional: PBE
Structure: relaxed

Values from the calculation:
E above lowest polymorph, eV per atom: 0.134
Density, Mg/m³: 8.22
Electronic total energy, eV per formula unit: -27.2

Unit cell a=6.0476 b=6.0476 c=6.0476 alpha=140.28 beta=140.28 gamma=57.43
Closest atoms and distances in Å follow each position.
Sites, in units of the cell vectors:
Zr 0.0000 0.0000 0.0000  8 Pd 3.17, 8 Ga 3.35
Ga 0.2500 0.7500 0.5000  4 Pd 2.48
Ga 0.7500 0.2500 0.5000  4 Pd 2.48
Pd 0.3811 0.3811 0.0000  4 Ga 2.48, 1 Pd 2.52
Pd 0.6189 0.6189 0.0000  4 Ga 2.48, 1 Pd 2.52

---

No. 5
Compound: NaCoBSb
Source: OQMD via LeMat-Bulk
Functional: PBE
Structure: relaxed

Values from the calculation:
E above lowest polymorph, eV per atom: 0.000
Density, Mg/m³: 6.12
Electronic total energy, eV per formula unit: -15.9

Unit cell a=4.3500 b=4.3500 c=4.3500 alpha=60.00 beta=60.00 gamma=60.00
Closest atoms and distances in Å follow each position.
Sites, in units of the cell vectors:
Na 0.0000 0.0000 0.0000  4 B 2.66, 4 Sb 2.66
Co 0.5000 0.5000 0.5000  4 B 2.66, 4 Sb 2.66
B 0.7500 0.7500 0.7500  4 Na 2.66, 4 Co 2.66
Sb 0.2500 0.2500 0.2500  4 Co 2.66, 4 Na 2.66

---

No. 6
Compound: PmTePd
Source: OQMD via LeMat-Bulk
Functional: PBE
Structure: relaxed

Values from the calculation:
E above lowest polymorph, eV per atom: 0.000
Density, Mg/m³: 8.16
Electronic total energy, eV per formula unit: -16.0

Unit cell a=4.7785 b=4.7785 c=4.7785 alpha=60.00 beta=60.00 gamma=60.00
Closest atoms and distances in Å follow each position.
Sites, in units of the cell vectors:
Pm 0.0000 0.0000 0.0000  4 Pd 2.93
Te 0.5000 0.5000 0.5000  4 Pd 2.93
Pd 0.2500 0.2500 0.2500  4 Te 2.93, 4 Pm 2.93

---

No. 7
Compound: Lu4Sc2Au3N3
Source: OQMD via LeMat-Bulk
Functional: PBE
Structure: relaxed

Values from the calculation:
Density, Mg/m³: 11.39
Electronic total energy, eV per formula unit: -79.9

Unit cell a=5.8151 b=5.8151 c=14.5532 alpha=101.48 beta=101.48 gamma=60.01
Closest atoms and distances in Å follow each position.
Sites, in units of the cell vectors:
Lu 0.0345 0.1966 0.0971  3 N 2.37-2.38
Lu 0.1321 0.3013 0.4028  3 N 2.38
Lu 0.1966 0.0345 0.5971  3 N 2.37-2.38
Lu 0.3013 0.1321 0.9028  3 N 2.38
Lu 0.6987 0.8679 0.0972  3 N 2.38
Lu 0.8034 0.9655 0.4029  3 N 2.37-2.38
Lu 0.8679 0.6987 0.5972  3 N 2.38
Lu 0.9655 0.8034 0.9029  3 N 2.37-2.38
Sc 0.3580 0.5272 0.0823  3 N 2.25-2.26
Sc 0.4728 0.6420 0.4177  3 N 2.25-2.26
Sc 0.5272 0.3580 0.5823  3 N 2.25-2.26
Sc 0.6420 0.4728 0.9177  3 N 2.25-2.26
Au 0.1170 0.8830 0.2500  2 Sc 2.94, 4 Lu 2.97-2.98, 2 Au 3.02
Au 0.2834 0.4171 0.7501  2 Sc 2.94-2.96, 4 Lu 2.97-2.98, 2 Au 3.02
Au 0.4171 0.2834 0.2501  2 Sc 2.94-2.96, 4 Lu 2.97-2.98, 2 Au 3.02
Au 0.5829 0.7166 0.7499  2 Sc 2.94-2.96, 4 Lu 2.97-2.98, 2 Au 3.02
Au 0.7166 0.5829 0.2499  2 Sc 2.94-2.96, 4 Lu 2.97-2.98, 2 Au 3.02
Au 0.8830 0.1170 0.7500  2 Sc 2.94, 4 Lu 2.97-2.98, 2 Au 3.02
N 0.0000 0.5000 0.0000  2 Sc 2.25, 4 Lu 2.38
N 0.1689 0.6656 0.5000  2 Sc 2.26, 4 Lu 2.37-2.38
N 0.3344 0.8311 0.0000  2 Sc 2.26, 4 Lu 2.37-2.38
N 0.5000 0.0000 0.5000  2 Sc 2.25, 4 Lu 2.38
N 0.6656 0.1689 0.0000  2 Sc 2.26, 4 Lu 2.37-2.38
N 0.8311 0.3344 0.5000  2 Sc 2.26, 4 Lu 2.37-2.38

---

No. 8
Compound: ScAlCu2
Source: OQMD via LeMat-Bulk
Functional: PBE
Structure: relaxed

Values from the calculation:
Density, Mg/m³: 5.38
Electronic total energy, eV per formula unit: -18.5

Unit cell a=4.2172 b=4.2172 c=3.4551 alpha=90.00 beta=90.00 gamma=90.00
Closest atoms and distances in Å follow each position.
Sites, in units of the cell vectors:
Sc 0.0000 0.0000 0.0000  8 Cu 2.73, 4 Al 2.98
Al 0.5000 0.5000 0.0000  8 Cu 2.73, 4 Sc 2.98
Cu 0.0000 0.5000 0.5000  4 Al 2.73, 4 Sc 2.73, 4 Cu 2.98
Cu 0.5000 0.0000 0.5000  4 Al 2.73, 4 Sc 2.73, 4 Cu 2.98

---

No. 9
Compound: Cu2B
Source: OQMD via LeMat-Bulk
Functional: PBE
Structure: relaxed

Values from the calculation:
Density, Mg/m³: 2.63
Electronic total energy, eV per formula unit: -9.9

Unit cell a=6.2662 b=6.2662 c=6.2662 alpha=60.00 beta=60.00 gamma=60.00
Closest atoms and distances in Å follow each position.
Sites, in units of the cell vectors:
Cu 0.0000 0.0000 0.0000  2 B 1.92
Cu 0.0000 0.0000 0.5000  2 B 1.92
Cu 0.0000 0.5000 0.0000  2 B 1.92
Cu 0.5000 0.0000 0.0000  2 B 1.92
B 0.1250 0.1250 0.1250  4 Cu 1.92
B 0.8750 0.8750 0.8750  4 Cu 1.92

---

No. 10
Compound: HfZrPa
Source: OQMD via LeMat-Bulk
Functional: PBE
Structure: relaxed

Values from the calculation:
E above lowest polymorph, eV per atom: 0.000
DFT formation energy, kJ per mole of atoms: 74.9
Density, Mg/m³: 10.37
Electronic total energy, eV per formula unit: -25.7

Unit cell a=4.8406 b=4.8406 c=4.8406 alpha=60.00 beta=60.00 gamma=60.00
Closest atoms and distances in Å follow each position.
Sites, in units of the cell vectors:
Hf 0.0000 0.0000 0.0000  4 Pa 2.96, 4 Zr 2.96
Zr 0.2500 0.2500 0.2500  4 Hf 2.96
Pa 0.7500 0.7500 0.7500  4 Hf 2.96

---

No. 11
Compound: Y2HoFe2Co6Ni
Source: OQMD via LeMat-Bulk
Functional: PBE
Structure: relaxed

Values from the calculation:
DFT formation energy, kJ per mole of atoms: -15.8
Density, Mg/m³: 8.33
Electronic total energy, eV per formula unit: -84.3

Unit cell a=8.5382 b=8.5382 c=8.5382 alpha=33.92 beta=33.92 gamma=33.92
Closest atoms and distances in Å follow each position.
Sites, in units of the cell vectors:
Y 0.1399 0.1399 0.1399  9 Co 2.87-3.08, 3 Ni 2.95, 3 Y 3.15
Y 0.8601 0.8601 0.8601  9 Co 2.87-3.08, 3 Ni 2.95, 3 Y 3.15
Ho 0.0000 0.0000 0.0000  6 Fe 2.88, 12 Co 3.16
Fe 0.3339 0.3339 0.3339  6 Co 2.41-2.43
Fe 0.6661 0.6661 0.6661  6 Co 2.41-2.43
Co 0.0800 0.5808 0.5808  2 Fe 2.41-2.43, 4 Co 2.49, 1 Ni 2.53
Co 0.4192 0.4192 0.9200  2 Fe 2.41-2.43, 4 Co 2.49, 1 Ni 2.53
Co 0.4192 0.9200 0.4192  2 Fe 2.41-2.43, 4 Co 2.49, 1 Ni 2.53
Co 0.5808 0.0800 0.5808  2 Fe 2.41-2.43, 4 Co 2.49, 1 Ni 2.53
Co 0.5808 0.5808 0.0800  2 Fe 2.41-2.43, 4 Co 2.49, 1 Ni 2.53
Co 0.9200 0.4192 0.4192  2 Fe 2.41-2.43, 4 Co 2.49, 1 Ni 2.53
Ni 0.5000 0.5000 0.5000  6 Co 2.53

---

No. 12
Compound: TcSb
Source: OQMD via LeMat-Bulk
Functional: PBE
Structure: relaxed

Values from the calculation:
E above lowest polymorph, eV per atom: 0.048
Density, Mg/m³: 8.83
Electronic total energy, eV per formula unit: -14.2

Unit cell a=5.1467 b=4.6047 c=6.9779 alpha=90.00 beta=90.00 gamma=90.00
Closest atoms and distances in Å follow each position.
Sites, in units of the cell vectors:
Tc 0.0000 0.0000 0.0000  6 Tc 2.57-2.84, 2 Sb 2.85
Tc 0.2500 0.5000 0.1504  5 Sb 2.64-2.74, 4 Tc 2.84
Tc 0.5000 0.0000 0.0000  6 Tc 2.57-2.84, 2 Sb 2.85
Tc 0.7500 0.5000 0.8496  5 Sb 2.64-2.74, 4 Tc 2.84
Sb 0.2500 0.0000 0.3642  4 Tc 2.74-2.85
Sb 0.2500 0.5000 0.7654  3 Tc 2.64-2.69
Sb 0.7500 0.0000 0.6358  4 Tc 2.74-2.85
Sb 0.7500 0.5000 0.2346  3 Tc 2.64-2.69

---

No. 13
Compound: GaCo2BiS6
Source: OQMD via LeMat-Bulk
Functional: PBE
Structure: relaxed

Values from the calculation:
Density, Mg/m³: 5.25
Electronic total energy, eV per formula unit: -50.0

Unit cell a=10.3451 b=3.5649 c=11.1854 alpha=90.00 beta=115.44 gamma=90.00
Closest atoms and distances in Å follow each position.
Sites, in units of the cell vectors:
Ga 0.1613 0.2500 0.4154  4 S 2.28-2.35
Ga 0.8387 0.7500 0.5846  4 S 2.28-2.35
Co 0.0394 0.7500 0.1416  6 S 2.22-2.35
Co 0.2474 0.7500 0.7469  6 S 2.28-2.32
Co 0.7526 0.2500 0.2531  6 S 2.28-2.32
Co 0.9606 0.2500 0.8584  6 S 2.22-2.35
Bi 0.4023 0.7500 0.1358  3 S 2.64-2.70
Bi 0.5977 0.2500 0.8642  3 S 2.64-2.70
S 0.0479 0.7500 0.7844  3 Co 2.28-2.31, 1 Ga 2.35
S 0.1259 0.2500 0.0665  3 Co 2.22-2.31
S 0.1402 0.2500 0.6099  1 Ga 2.28, 2 Co 2.30
S 0.2484 0.7500 0.3413  2 Ga 2.31, 1 Co 2.35
S 0.3497 0.2500 0.8891  2 Co 2.32
S 0.4355 0.7500 0.6904  1 Co 2.29
S 0.5645 0.2500 0.3096  1 Co 2.29
S 0.6503 0.7500 0.1109  2 Co 2.32
S 0.7516 0.2500 0.6587  2 Ga 2.31, 1 Co 2.35
S 0.8598 0.7500 0.3901  1 Ga 2.28, 2 Co 2.30
S 0.8741 0.7500 0.9335  3 Co 2.22-2.31
S 0.9521 0.2500 0.2156  3 Co 2.28-2.31, 1 Ga 2.35

---

No. 14
Compound: NaFeSnAs
Source: OQMD via LeMat-Bulk
Functional: PBE
Structure: relaxed

Values from the calculation:
E above lowest polymorph, eV per atom: 0.162
Density, Mg/m³: 5.58
Electronic total energy, eV per formula unit: -16.7

Unit cell a=4.8583 b=4.8583 c=4.8583 alpha=60.00 beta=60.00 gamma=60.00
Closest atoms and distances in Å follow each position.
Sites, in units of the cell vectors:
Na 0.0000 0.0000 0.0000  4 As 2.98, 4 Fe 2.98
Fe 0.2500 0.2500 0.2500  4 Sn 2.98, 4 Na 2.98
Sn 0.5000 0.5000 0.5000  4 As 2.98, 4 Fe 2.98
As 0.7500 0.7500 0.7500  4 Sn 2.98, 4 Na 2.98

---

No. 15
Compound: LiFe3Sn5
Source: OQMD via LeMat-Bulk
Functional: PBE
Structure: relaxed

Values from the calculation:
Density, Mg/m³: 6.82
Electronic total energy, eV per formula unit: -46.9

Unit cell a=5.2079 b=5.2079 c=7.9621 alpha=90.00 beta=90.00 gamma=120.00
Closest atoms and distances in Å follow each position.
Sites, in units of the cell vectors:
Li 0.0000 0.0000 0.0000  12 Sn 3.43
Fe 0.0000 0.5000 0.5000  4 Fe 2.60, 6 Sn 2.60-2.77
Fe 0.5000 0.0000 0.5000  4 Fe 2.60, 6 Sn 2.60-2.77
Fe 0.5000 0.5000 0.5000  4 Fe 2.60, 6 Sn 2.60-2.77
Sn 0.0000 0.0000 0.5000  6 Fe 2.60
Sn 0.3333 0.6667 0.2071  3 Fe 2.77, 3 Sn 3.01
Sn 0.3333 0.6667 0.7929  3 Fe 2.77, 3 Sn 3.01
Sn 0.6667 0.3333 0.2071  3 Fe 2.77, 3 Sn 3.01
Sn 0.6667 0.3333 0.7929  3 Fe 2.77, 3 Sn 3.01

---

No. 16
Compound: RbZr2
Source: OQMD via LeMat-Bulk
Functional: PBE
Structure: relaxed

Values from the calculation:
E above lowest polymorph, eV per atom: 0.628
Density, Mg/m³: 4.65
Electronic total energy, eV per formula unit: -14.6

Unit cell a=6.4659 b=6.4659 c=6.4659 alpha=60.00 beta=60.00 gamma=60.00
Closest atoms and distances in Å follow each position.
Sites, in units of the cell vectors:
Rb 0.1250 0.1250 0.1250  12 Zr 3.79, 4 Rb 3.96
Rb 0.8750 0.8750 0.8750  12 Zr 3.79, 4 Rb 3.96
Zr 0.0000 0.5000 0.5000  6 Zr 3.23
Zr 0.5000 0.0000 0.5000  6 Zr 3.23
Zr 0.5000 0.5000 0.0000  6 Zr 3.23
Zr 0.5000 0.5000 0.5000  6 Zr 3.23

---

No. 17
Compound: YErFe2Cl2
Source: OQMD via LeMat-Bulk
Functional: PBE
Structure: relaxed

Values from the calculation:
Density, Mg/m³: 5.32
Electronic total energy, eV per formula unit: -38.0

Unit cell a=3.7909 b=3.7909 c=11.0086 alpha=90.00 beta=90.00 gamma=120.00
Closest atoms and distances in Å follow each position.
Sites, in units of the cell vectors:
Y 0.0000 0.0000 0.0000  3 Cl 2.81, 6 Fe 2.91-3.05
Er 0.0000 0.0000 0.3626  3 Cl 2.78, 6 Fe 2.88-3.02
Fe 0.3333 0.6667 0.1928  3 Fe 2.20
Fe 0.6667 0.3333 0.1735  3 Fe 2.20
Cl 0.3333 0.6667 0.8401  3 Y 2.81
Cl 0.6667 0.3333 0.5178  3 Er 2.78

---

No. 18
Compound: TbPaCu
Source: OQMD via LeMat-Bulk
Functional: PBE
Structure: relaxed

Values from the calculation:
E above lowest polymorph, eV per atom: 0.000
DFT formation energy, kJ per mole of atoms: 43.8
Density, Mg/m³: 10.06
Electronic total energy, eV per formula unit: -16.5

Unit cell a=4.7310 b=4.7310 c=4.7310 alpha=60.00 beta=60.00 gamma=60.00
Closest atoms and distances in Å follow each position.
Sites, in units of the cell vectors:
Tb 0.0000 0.0000 0.0000  4 Cu 2.90
Pa 0.5000 0.5000 0.5000  4 Cu 2.90
Cu 0.7500 0.7500 0.7500  4 Tb 2.90, 4 Pa 2.90

---

No. 19
Compound: InPIr4
Source: OQMD via LeMat-Bulk
Functional: PBE
Structure: relaxed

Values from the calculation:
Density, Mg/m³: 14.85
Electronic total energy, eV per formula unit: -42.9

Unit cell a=3.9676 b=3.9676 c=6.4954 alpha=90.00 beta=90.00 gamma=90.00
Closest atoms and distances in Å follow each position.
Sites, in units of the cell vectors:
In 0.0000 0.0000 0.0000  8 Ir 2.74
P 0.5000 0.5000 0.5000  8 Ir 2.40
Ir 0.0000 0.5000 0.2919  2 P 2.40
Ir 0.0000 0.5000 0.7081  2 P 2.40
Ir 0.5000 0.0000 0.2919  2 P 2.40
Ir 0.5000 0.0000 0.7081  2 P 2.40

---

No. 20
Compound: ZrAl2Hg
Source: OQMD via LeMat-Bulk
Functional: PBE
Structure: relaxed

Values from the calculation:
Density, Mg/m³: 7.28
Electronic total energy, eV per formula unit: -15.8

Unit cell a=4.8147 b=4.8147 c=4.8147 alpha=60.00 beta=60.00 gamma=60.00
Closest atoms and distances in Å follow each position.
Sites, in units of the cell vectors:
Zr 0.0000 0.0000 0.0000  4 Hg 2.95, 4 Al 2.95
Al 0.2500 0.2500 0.2500  4 Al 2.95, 4 Zr 2.95
Al 0.5000 0.5000 0.5000  4 Hg 2.95, 4 Al 2.95
Hg 0.7500 0.7500 0.7500  4 Zr 2.95, 4 Al 2.95